# BTe2Br (meta-GGA SCAN, single point on PBEsol structure)
data_BTe2Br
_chemical_formula_sum 'B4 Te8 Br4'
_symmetry_space_group_name_H-M 'F m -3 m'
_symmetry_Int_Tables_number 225
_symmetry_space_group_name_Hall '-F 4 2 3'
_cell_length_a 6.959
_cell_length_b 6.959
_cell_length_c 6.959
_cell_angle_alpha 90.00
_cell_angle_beta 90.00
_cell_angle_gamma 90.00
loop_
_atom_site_label
_atom_site_fract_x
_atom_site_fract_y
_atom_site_fract_z
B1 0.000 0.000 0.000
Te1 0.250 0.250 0.250
Br1 0.000 0.000 0.500
# E_form (uncorrected)   1308 meV per atom